(1)
4
Lattice="-0.392 -1.899 1.921 4.586 -0.796 0.150 3.516 2.569 3.259" Properties=species:S:1:pos:R:3 comment="PBE CrRh2W, optimized geometry" spacegroup="No. 10" de_polymorph_mev_per_atom=138 delta_e_f_ev_per_atom=0.019 pbc="T T T"
Cr 1.758 1.285 1.629
W 3.855 -0.063 2.665
Rh 2.097 -1.347 1.035
Rh 0.000 0.000 0.000



(2)
4
Lattice="-0.735 2.621 3.350 2.396 -0.342 3.574 2.850 3.086 0.992" Properties=species:S:1:pos:R:3 comment="PBE CrRh2W, optimized geometry" spacegroup="No. 216" de_polymorph_mev_per_atom=288 delta_e_f_ev_per_atom=0.168 pbc="T T T"
W 3.383 4.024 5.937
Rh 0.000 0.000 0.000
Rh 1.128 1.341 1.979
Cr 2.255 2.682 3.958



(3)
4
Lattice="-0.453 0.600 -4.634 2.547 -3.220 -2.275 -3.172 -0.364 3.445" Properties=species:S:1:pos:R:3 comment="PBE CrRh2W, optimized geometry" spacegroup="No. 69" de_polymorph_mev_per_atom=0 delta_e_f_ev_per_atom=-0.119 pbc="T T T"
Rh 2.094 -2.621 -6.909
Rh 1.047 -1.310 -3.455
W -1.289 -0.537 -2.321
Cr 0.211 -2.447 -1.142



(4)
4
Lattice="4.716 0.018 -0.015 1.572 4.447 0.015 -3.136 -2.244 2.716" Properties=species:S:1:pos:R:3 comment="PBE CrRh2W, optimized geometry" spacegroup="No. 119" de_polymorph_mev_per_atom=85 delta_e_f_ev_per_atom=-0.034 pbc="T T T"
Rh 2.362 0.003 1.350
Rh 6.288 4.464 0.000
Cr 0.790 2.217 1.365
W 3.144 2.232 0.000



It is found that the DOS(E_F) values, taken in the order of the records, are 3.97; 5.78; 3.31; 4.50 states/eV/f.u..